Record 1
Density functional theory data (PBE) for SmDy15Tm4 after structural relaxation.

The total magnetization is 0.00 Bohr magnetons per cell. As for the space group: P4/mmm. The calculation puts the energy of formation at 0.02 eV/atom.

The structure in POSCAR format:
```
SmDy15Tm4
1.0
4.999 0.000 0.000
0.000 4.999 0.000
0.000 0.000 24.988
Sm Dy Tm
1 15 4
Cartesian
0.000 0.000 0.000 Sm
0.000 2.499 2.534 Dy
0.000 2.499 7.514 Dy
0.000 2.499 12.494 Dy
0.000 2.499 17.474 Dy
0.000 2.499 22.454 Dy
2.499 0.000 2.534 Dy
2.499 0.000 7.514 Dy
2.499 0.000 12.494 Dy
2.499 0.000 17.474 Dy
2.499 0.000 22.454 Dy
2.499 2.499 0.000 Dy
2.499 2.499 5.033 Dy
2.499 2.499 10.004 Dy
2.499 2.499 14.984 Dy
2.499 2.499 19.956 Dy
0.000 0.000 5.023 Tm
0.000 0.000 10.005 Tm
0.000 0.000 14.984 Tm
0.000 0.000 19.965 Tm
```

---

Record 2
Density functional theory data (PBE) for Sm4DyTm2 after structural relaxation.

The total magnetization is 0.00 Bohr magnetons per cell. As for the space group: P2_1/m. The calculation puts the energy of formation at 0.13 eV/atom.

The structure in POSCAR format:
```
Sm4DyTm2
1.0
6.201 0.000 0.000
0.000 6.570 0.000
-3.011 0.000 11.136
Sm Dy Tm
8 2 4
Cartesian
-0.860 1.642 4.047 Sm
-1.938 1.642 10.573 Sm
1.529 3.334 2.387 Sm
1.529 6.520 2.387 Sm
1.661 0.049 8.749 Sm
1.661 3.235 8.749 Sm
5.128 4.927 0.563 Sm
4.050 4.927 7.089 Sm
-1.036 1.642 7.388 Dy
4.227 4.927 3.748 Dy
-0.986 4.927 10.295 Tm
0.910 4.927 5.608 Tm
2.280 1.642 5.528 Tm
4.176 1.642 0.841 Tm
```

---

Record 3
Density functional theory data (PBE) for SmDy2Tm12 after structural relaxation.

The total magnetization is 0.02 Bohr magnetons per cell. As for the space group: C2/m. The calculation puts the energy of formation at 0.11 eV/atom.

The structure in POSCAR format:
```
SmDy2Tm12
1.0
3.532 -5.541 0.000
3.532 5.541 0.000
-1.890 0.000 23.764
Sm Dy Tm
2 4 24
Cartesian
1.760 0.000 0.000 Sm
3.415 0.000 23.764 Sm
-0.055 0.000 6.707 Dy
1.697 0.000 17.036 Dy
3.477 0.000 6.729 Dy
5.230 0.000 17.057 Dy
0.004 0.000 3.267 Tm
1.765 2.769 4.593 Tm
1.708 2.771 7.853 Tm
1.703 2.763 13.187 Tm
-0.067 0.000 13.712 Tm
1.642 2.759 22.156 Tm
3.532 2.759 1.608 Tm
1.700 0.000 10.060 Tm
3.472 2.763 10.577 Tm
3.467 2.771 15.911 Tm
3.410 2.769 19.172 Tm
1.637 0.000 20.470 Tm
3.538 0.000 3.295 Tm
1.765 -2.769 4.593 Tm
1.708 -2.771 7.853 Tm
1.703 -2.763 13.187 Tm
3.475 0.000 13.704 Tm
1.642 -2.759 22.156 Tm
3.532 -2.759 1.608 Tm
5.242 0.000 10.052 Tm
3.472 -2.763 10.577 Tm
3.467 -2.771 15.911 Tm
3.410 -2.769 19.172 Tm
5.171 0.000 20.497 Tm
```

---

Record 4
Density functional theory data (PBE) for SmDyTm6 after structural relaxation.

The total magnetization is 0.00 Bohr magnetons per cell. As for the space group: P4/mmm. The calculation puts the energy of formation at 0.02 eV/atom.

The structure in POSCAR format:
```
SmDyTm6
1.0
7.020 0.000 0.000
0.000 7.020 0.000
0.000 0.000 4.957
Sm Dy Tm
1 1 6
Cartesian
0.000 0.000 0.000 Sm
3.510 3.510 0.000 Dy
0.000 3.510 0.000 Tm
1.761 1.761 2.478 Tm
1.761 5.258 2.478 Tm
3.510 0.000 0.000 Tm
5.258 1.761 2.478 Tm
5.258 5.258 2.478 Tm
```

---

Record 5
Density functional theory data (PBE) for Sm3Dy3Tm after structural relaxation.

The total magnetization is 0.00 Bohr magnetons per cell. As for the space group: P6_3/m. The calculation puts the energy of formation at 0.02 eV/atom.

The structure in POSCAR format:
```
Sm3Dy3Tm
1.0
9.586 0.000 0.000
-4.793 8.302 0.000
0.000 0.000 5.717
Sm Dy Tm
6 6 2
Cartesian
-0.695 2.004 1.429 Sm
-2.710 7.902 1.429 Sm
1.388 1.604 4.288 Sm
3.405 6.698 1.429 Sm
7.503 0.400 4.288 Sm
5.488 6.298 4.288 Sm
-1.376 3.964 4.288 Dy
-0.672 7.512 4.288 Dy
2.745 3.174 1.429 Dy
2.048 5.129 4.288 Dy
5.466 0.790 1.429 Dy
6.169 4.338 1.429 Dy
0.000 5.535 1.429 Tm
4.793 2.767 4.288 Tm
```

---

Record 6
Density functional theory data (PBE) for SmDy4Tm15 after structural relaxation.

The total magnetization is 0.00 Bohr magnetons per cell. As for the space group: P4/mmm. The calculation puts the energy of formation at 0.03 eV/atom.

The structure in POSCAR format:
```
SmDy4Tm15
1.0
4.955 0.000 0.000
0.000 4.955 0.000
0.000 0.000 24.771
Sm Dy Tm
1 4 15
Cartesian
0.000 0.000 0.000 Sm
0.000 0.000 4.967 Dy
0.000 0.000 9.915 Dy
0.000 0.000 14.856 Dy
0.000 0.000 19.804 Dy
0.000 2.477 2.500 Tm
0.000 2.477 7.442 Tm
0.000 2.477 12.386 Tm
0.000 2.477 17.329 Tm
0.000 2.477 22.271 Tm
2.477 0.000 2.500 Tm
2.477 0.000 7.442 Tm
2.477 0.000 12.386 Tm
2.477 0.000 17.329 Tm
2.477 0.000 22.271 Tm
2.477 2.477 0.000 Tm
2.477 2.477 4.975 Tm
2.477 2.477 9.913 Tm
2.477 2.477 14.858 Tm
2.477 2.477 19.796 Tm
```

---

Record 7
Density functional theory data (PBE) for Sm2Dy5Tm2 after structural relaxation.

The total magnetization is 0.00 Bohr magnetons per cell. As for the space group: Ima2. The calculation puts the energy of formation at 0.23 eV/atom.

The structure in POSCAR format:
```
Sm2Dy5Tm2
1.0
-7.414 5.873 3.346
7.414 -5.873 3.346
7.414 5.873 -3.346
Sm Dy Tm
4 10 4
Cartesian
0.000 0.000 0.000 Sm
7.414 0.000 0.000 Sm
3.707 5.768 2.760 Sm
-3.707 5.977 2.760 Sm
8.181 2.918 -1.253 Dy
6.646 -2.955 2.092 Dy
2.120 2.760 0.838 Dy
5.294 2.760 0.838 Dy
3.707 -2.875 4.133 Dy
-0.768 2.955 2.092 Dy
8.181 2.955 2.092 Dy
3.707 8.748 0.788 Dy
2.120 3.113 4.184 Dy
5.294 3.113 4.184 Dy
1.881 -0.013 3.082 Tm
5.533 -0.013 3.082 Tm
1.881 5.886 -0.264 Tm
5.533 5.886 -0.264 Tm
```

---

Record 8
Density functional theory data (PBE) for Sm2Dy2Tm5 after structural relaxation.

The total magnetization is 0.00 Bohr magnetons per cell. As for the space group: C2/m. The calculation puts the energy of formation at 0.24 eV/atom.

The structure in POSCAR format:
```
Sm2Dy2Tm5
1.0
10.672 -1.735 0.000
10.672 1.735 0.000
-1.374 0.000 8.031
Sm Dy Tm
2 2 5
Cartesian
3.700 0.000 1.165 Sm
16.270 0.000 6.866 Sm
8.794 0.000 5.187 Dy
11.176 0.000 2.844 Dy
0.000 0.000 0.000 Tm
1.076 0.000 5.892 Tm
5.957 0.000 3.798 Tm
14.012 0.000 4.234 Tm
18.894 0.000 2.139 Tm
```